(1)
An optimized crystal structure of PaPOsO, computed with PBE-GGA.

Unit cell a=3.9767 b=3.9767 c=7.7276 alpha=90.00 beta=90.00 gamma=90.00
With the nearest neighbours (Å) after each atom.
Atoms (fractional coordinates):
1 Pa 0.2500 0.2500 0.1742  4 O 2.40
2 Pa 0.7500 0.7500 0.8258  4 O 2.40
3 P 0.2500 0.2500 0.6639  4 Os 2.36
4 P 0.7500 0.7500 0.3361  4 Os 2.36
5 Os 0.2500 0.7500 0.5000  4 P 2.36
6 Os 0.7500 0.2500 0.5000  4 P 2.36
7 O 0.2500 0.7500 0.0000  4 Pa 2.40
8 O 0.7500 0.2500 0.0000  4 Pa 2.40

Calculated values
SG = P4/nmm, No. 129
energy above the lowest structure with this stoichiometry = 0.000 eV/atom



(2)
An optimized crystal structure of TaSi2Au2, computed with PBE-GGA.

Unit cell a=6.3792 b=6.3792 c=6.3792 alpha=144.65 beta=144.65 gamma=50.85
With the nearest neighbours (Å) after each atom.
Atoms (fractional coordinates):
1 Ta 0.0000 0.0000 0.0000  8 Au 3.04
2 Si 0.2500 0.7500 0.5000  4 Au 2.49, 4 Si 2.74
3 Si 0.7500 0.2500 0.5000  4 Au 2.49, 4 Si 2.74
4 Au 0.3859 0.3859 0.0000  4 Si 2.49, 1 Au 2.63
5 Au 0.6141 0.6141 0.0000  4 Si 2.49, 1 Au 2.63

Calculated values
SG = I4/mmm, No. 139
total energy = -5.38 eV per atom



(3)
An optimized crystal structure of RePbNO, computed with PBE-GGA.

Unit cell a=6.2741 b=7.7500 c=5.0395 alpha=90.00 beta=90.00 gamma=90.00
With the nearest neighbours (Å) after each atom.
Atoms (fractional coordinates):
1 Re 0.1571 0.1512 0.0000  1 N 1.77
2 Re 0.3429 0.1512 0.5000  1 N 1.77
3 Re 0.6571 0.8488 0.0000  1 N 1.77
4 Re 0.8429 0.8488 0.5000  1 N 1.77
5 Pb 0.0676 0.6766 0.9842  3 N 2.50-2.61
6 Pb 0.4324 0.6766 0.4842  3 N 2.50-2.61
7 Pb 0.5676 0.3234 0.9842  3 N 2.50-2.61
8 Pb 0.9324 0.3234 0.4842  3 N 2.50-2.61
9 N 0.0306 0.3551 0.9845  1 Re 1.77
10 N 0.4694 0.3551 0.4845  1 Re 1.77
11 N 0.5306 0.6449 0.9845  1 Re 1.77
12 N 0.9694 0.6449 0.4845  1 Re 1.77
13 O 0.1063 0.9816 0.6811  3 Re 2.10-2.18
14 O 0.3937 0.9816 0.1811  3 Re 2.10-2.18
15 O 0.6063 0.0184 0.6811  3 Re 2.10-2.18
16 O 0.8937 0.0184 0.1811  3 Re 2.10-2.18

Calculated values
SG = Pca2_1, No. 29
energy above the lowest structure with this stoichiometry = 0.132 eV/atom



(4)
An optimized crystal structure of Ta3AgSn5, computed with PBE-GGA.

Unit cell a=5.7853 b=5.7853 c=7.5832 alpha=90.00 beta=90.00 gamma=120.00
With the nearest neighbours (Å) after each atom.
Atoms (fractional coordinates):
1 Ta 0.0000 0.5000 0.0000  4 Ta 2.89, 6 Sn 2.89-2.91
2 Ta 0.5000 0.0000 0.0000  4 Ta 2.89, 6 Sn 2.89-2.91
3 Ta 0.5000 0.5000 0.0000  4 Ta 2.89, 6 Sn 2.89-2.91
4 Ag 0.0000 0.0000 0.5000  14 Sn 3.63-3.79
5 Sn 0.0000 0.0000 0.0000  6 Ta 2.89
6 Sn 0.3333 0.6667 0.3141  1 Sn 2.82, 3 Ta 2.91
7 Sn 0.3333 0.6667 0.6859  1 Sn 2.82, 3 Ta 2.91
8 Sn 0.6667 0.3333 0.3141  1 Sn 2.82, 3 Ta 2.91
9 Sn 0.6667 0.3333 0.6859  1 Sn 2.82, 3 Ta 2.91

Calculated values
SG = P6/mmm, No. 191
total energy = -6.27 eV per atom